# CeCd6Ag2

Crystalline CeCd6Ag2 at its relaxed geometry (GGA-PBE, Alexandria via LeMat-Bulk).

a b c (Å): 15.2952 8.6705 3.0961
angles (deg): 90.00 100.85 90.00
Space group C2/m (No. 12)
One atom of each set of equivalent atoms:
Ce: 0.0000 0.0000 0.0000
Cd: 0.0000 0.3349 0.5000
Cd: 0.1749 0.1754 0.6737
Ag: 0.1482 0.5000 0.1385

Calculated values
Spin magnetization = 1.2 μB/f.u.


# MgAgPt2

Crystalline MgAgPt2 at its relaxed geometry (GGA-PBE, Alexandria via LeMat-Bulk).

a b c (Å): 5.7307 7.7723 2.9228
angles (deg): 90.00 90.00 90.00
Space group Cmmm (No. 65)
One atom of each set of equivalent atoms:
Mg: 0.0000 0.0000 0.0000
Ag: 0.0000 0.5000 0.0000
Pt: 0.2500 0.2500 0.5000

Calculated values
Spin magnetization = 0.0 μB/f.u.


# Sr2Hg2B

Crystalline Sr2Hg2B at its relaxed geometry (GGA-PBE, Alexandria via LeMat-Bulk).

a b c (Å): 7.4854 7.4854 4.9730
angles (deg): 90.00 90.00 90.00
Space group P4/mbm (No. 127)
One atom of each set of equivalent atoms:
Sr: 0.1784 0.3216 0.0000
Hg: 0.1401 0.6401 0.5000
B: 0.0000 0.0000 0.5000

Calculated values
Spin magnetization = 0.0 μB/f.u.


For each record above, in turn, the calculated calculated formation energy values are -0.053 -0.417 0.361 eV/atom.
For each record above, in turn, the calculated calculated total energy values are -35.207 -36.391 -17.678 eV for the cell shown.